# TlBi7Pd5, optimized geometry, DFT PBE
data_TlBi7Pd5
_chemical_formula_sum 'Tl2 Bi14 Pd10'
_cell_length_a 6.0456
_cell_length_b 10.0616
_cell_length_c 10.4894
_cell_angle_alpha 90.00
_cell_angle_beta 90.00
_cell_angle_gamma 90.00
_symmetry_space_group_name_H-M 'I m m 2'
_symmetry_Int_Tables_number 44
_symmetry_space_group_name_Hall 'I 2 -2'
loop_
_atom_site_label
_atom_site_fract_x
_atom_site_fract_y
_atom_site_fract_z
Tl1 0.0000 0.0000 0.0000
Bi1 0.0000 0.0000 0.3331
Bi2 0.0000 0.0000 0.6581
Bi3 0.0000 0.3238 0.4376
Bi4 0.0000 0.3289 0.9969
Bi5 0.0000 0.5000 0.7060
Pd1 0.0000 0.5000 0.2204
Pd2 0.2491 0.2551 0.7179
# - Energy of formation from the pure elements: -0.1365 eV per atom
# - Density of states at the Fermi level: 12.6 states/eV per cell